# TlWO3 | the Alexandria database | PBE with a Hubbard U | relaxed
data_TlWO3
_chemical_formula_sum 'Tl2 W2 O6'
_cell_length_a 3.2194
_cell_length_b 7.3095
_cell_length_c 8.4476
_cell_angle_alpha 113.50
_cell_angle_beta 90.06
_cell_angle_gamma 102.67
_space_group_name_H-M_alt 'P -1'
_space_group_IT_number 2
_space_group_name_Hall '-P 1'
loop_
_atom_site_label
_atom_site_fract_x
_atom_site_fract_y
_atom_site_fract_z
Tl1 0.0452 0.0927 0.3226
W1 0.2684 0.5353 0.1842
O1 0.1741 0.3488 0.9154
O2 0.3082 0.6175 0.7796
O3 0.3818 0.7628 0.3885
# raw total energy: -6.504 eV per atom